Here is a PBEsol-optimized structure of AgW2Se from the Alexandria database. Energies are from SCAN.

a = 3.8084 Å, b = 3.8084 Å, c = 4.5848 Å
α = 90.00°, β = 90.00°, γ = 90.00°
Closest atoms and distances in Å follow each position.
Fractional coordinates of all 4 atoms:
Ag1 0.5000 0.5000 0.5000  4 Se 2.69, 8 W 2.98
W1 0.5000 0.0000 0.0000  4 W 2.69, 4 Se 2.98, 4 Ag 2.98
W2 0.0000 0.5000 0.0000  4 W 2.69, 4 Se 2.98, 4 Ag 2.98
Se1 0.0000 0.0000 0.5000  4 Ag 2.69, 8 W 2.98

Summary:
VASP energy, eV per cell: -186.41
Density, g cm⁻³: 13.85
Magnetic moment, μB per atom: 0.000
Formation energy (no corrections), meV per atom: 1103